Entry from Alexandria via LeMat-Bulk: a geometry-optimized Mn3HgO structure (PBE+U).

abc: 5.2211 5.2211 5.2211
angles: 90.00 90.00 90.00
Site moments in Bohr magnetons follow the coordinates.
Atoms (fractional coordinates):
Mn 0.5000 0.0000 0.0000  4.60
Mn 0.0000 0.5000 0.0000  4.66
Hg 0.0000 0.0000 0.0000  -0.01
Mn 0.0000 0.0000 0.5000  4.66
O 0.5000 0.5000 0.5000  0.82

offset from the most stable computed form = 1402.6 meV/atom
volume = 28.47 Å³ per atom
total moment = 15.7 μB/cell